(1)
First-principles (GGA-PBE) data for crystalline Ac4CdPt at its relaxed geometry, as listed in Alexandria.

```
Ac4CdPt
1.0
-5.191 5.191 4.866
5.191 -5.191 4.866
5.191 5.191 -4.866
Ac Cd Pt
8 2 2
direct
0.192 0.000 0.192
0.204 0.501 0.297
0.204 0.907 0.703
0.251 0.454 0.797
0.657 0.454 0.203
0.750 0.058 0.308
0.750 0.442 0.692
0.808 0.000 0.808
0.474 0.974 0.500
0.724 0.724 0.000
0.229 0.229 0.000
0.979 0.479 0.500
```

Output
- DOS at the Fermi energy (states/eV/cell) = 20.4
- E above lowest polymorph (meV per atom) = 229



(2)
First-principles (GGA-PBE) data for crystalline TaReRh2 at its relaxed geometry, as listed in Alexandria.

```
TaReRh2
1.0
9.130 0.000 0.000
0.000 2.798 0.000
-0.884 0.000 4.783
Ta Re Rh
2 2 4
direct
0.000 0.000 0.000
0.500 0.500 0.000
0.249 0.000 0.700
0.749 0.500 0.700
0.003 0.500 0.503
0.250 0.500 0.222
0.503 0.000 0.503
0.750 0.000 0.222
```

Output
- DOS at the Fermi energy (states/eV/cell) = 5.7
- E above lowest polymorph (meV per atom) = 105



(3)
First-principles (GGA-PBE) data for crystalline IrCNO2 at its relaxed geometry, as listed in Alexandria.

```
IrCNO2
1.0
3.476 0.000 0.000
0.000 3.476 0.000
0.000 0.000 3.345
Ir C N O
1 1 1 2
direct
0.000 0.000 0.000
0.500 0.500 0.500
0.500 0.500 0.000
0.000 0.500 0.500
0.500 0.000 0.500
```

Output
- energy relative to the elements, uncorrected (kcal/mol of atoms) = 39.71
- DOS at the Fermi energy (states/eV/cell) = 2.6



(4)
First-principles (GGA-PBE) data for crystalline Zn2Fe2Rh at its relaxed geometry, as listed in Alexandria.

```
Zn2Fe2Rh
1.0
6.945 0.000 0.000
0.000 6.945 0.000
0.000 0.000 2.792
Zn Fe Rh
4 4 2
direct
0.181 0.319 0.000
0.319 0.819 0.000
0.681 0.181 0.000
0.819 0.681 0.000
0.116 0.616 0.500
0.384 0.116 0.500
0.616 0.884 0.500
0.884 0.384 0.500
0.000 0.000 0.500
0.500 0.500 0.500
```

Output
- DOS at the Fermi energy (states/eV/cell) = 10.5
- E above lowest polymorph (meV per atom) = 41



(5)
First-principles (GGA-PBE) data for crystalline LaCe2Th at its relaxed geometry, as listed in Alexandria.

```
LaCe2Th
1.0
7.908 0.000 0.000
0.000 7.908 0.000
0.000 0.000 7.908
La Ce Th
4 8 4
direct
0.000 0.000 0.000
0.000 0.500 0.500
0.500 0.000 0.500
0.500 0.500 0.000
0.250 0.250 0.250
0.250 0.250 0.750
0.250 0.750 0.250
0.250 0.750 0.750
0.750 0.250 0.250
0.750 0.250 0.750
0.750 0.750 0.250
0.750 0.750 0.750
0.000 0.000 0.500
0.000 0.500 0.000
0.500 0.000 0.000
0.500 0.500 0.500
```

Output
- DOS at the Fermi energy (states/eV/cell) = 62.9
- E above lowest polymorph (meV per atom) = 200



(6)
First-principles (GGA-PBE) data for crystalline Cs2SiPb2 at its relaxed geometry, as listed in Alexandria.

```
Cs2SiPb2
1.0
4.415 0.000 0.000
0.000 4.415 0.000
0.000 0.000 23.977
Cs Si Pb
4 2 4
direct
0.000 0.000 0.093
0.000 0.000 0.907
0.500 0.500 0.407
0.500 0.500 0.593
0.000 0.000 0.500
0.500 0.500 0.000
0.000 0.500 0.250
0.000 0.500 0.750
0.500 0.000 0.250
0.500 0.000 0.750
```

Output
- energy relative to the elements, uncorrected (kcal/mol of atoms) = 8.72
- DOS at the Fermi energy (states/eV/cell) = 8.1
- E above lowest polymorph (meV per atom) = 263



(7)
First-principles (GGA-PBE) data for crystalline SrPrNdEr at its relaxed geometry, as listed in Alexandria.

```
SrPrNdEr
1.0
8.436 0.000 0.000
0.000 8.436 0.000
0.000 0.000 8.436
Sr Pr Nd Er
4 4 4 4
direct
0.000 0.000 0.000
0.000 0.500 0.500
0.500 0.000 0.500
0.500 0.500 0.000
0.250 0.250 0.250
0.250 0.750 0.750
0.750 0.250 0.750
0.750 0.750 0.250
0.250 0.250 0.750
0.250 0.750 0.250
0.750 0.250 0.250
0.750 0.750 0.750
0.000 0.000 0.500
0.000 0.500 0.000
0.500 0.000 0.000
0.500 0.500 0.500
```

Output
- DOS at the Fermi energy (states/eV/cell) = 24.4



(8)
First-principles (GGA-PBE) data for crystalline ScRhO2F at its relaxed geometry, as listed in Alexandria.

```
ScRhO2F
1.0
4.003 0.000 0.000
0.000 4.003 0.000
0.000 0.000 3.983
Sc Rh O F
1 1 2 1
direct
0.000 0.000 0.000
0.500 0.500 0.500
0.000 0.500 0.500
0.500 0.000 0.500
0.500 0.500 0.000
```

Output
- energy relative to the elements, uncorrected (kcal/mol of atoms) = -27.07
- DOS at the Fermi energy (states/eV/cell) = 2.6



Computed values of final energy (unit: Ry per atom) for the preceding records, in sequence: -0.3071, -0.7361, -0.4074, -0.3814, -0.4266, -0.1860, -0.2752, -0.4607.